The following is a PBE-GGA calculation of a geometry-optimized CdFeP structure, from the Alexandria database.

Summary:
The calculation puts the formation energy at -0.0042 eV/atom. The total energy is -0.1813 hartree per atom.

Cell: 5.512 5.512 2.961 Å, 74.42 74.42 31.16°
Last column: magnetic moment on the atom in μB.
Element x y z (fractional)
1 Cd 0.005 0.005 0.995  -0.03
2 Fe 0.704 0.704 0.296  0.86
3 P 0.292 0.292 0.708  -0.02



The following is a PBE-GGA calculation of a geometry-optimized Cd2FeP structure, from the Alexandria database.

Summary:
The calculation puts the formation energy at 0.0030 eV/atom. The total energy is -0.1442 hartree per atom.

Cell: 2.927 2.967 7.953 Å, 79.20 90.00 90.00°
Last column: magnetic moment on the atom in μB.
Element x y z (fractional)
1 Cd 0.000 0.822 0.985  0.00
2 Cd 0.500 0.166 0.293  -0.01
3 Fe 0.000 0.536 0.551  0.91
4 P 0.500 0.976 0.671  -0.03



The following is a PBE-GGA calculation of a geometry-optimized Cd2FeP structure, from the Alexandria database.

Summary:
The calculation puts the formation energy at 0.4292 eV/atom. The total energy is -0.1285 hartree per atom.

Cell: 6.223 5.106 2.994 Å, 89.96 61.31 117.94°
Last column: magnetic moment on the atom in μB.
Element x y z (fractional)
1 Cd 0.000 0.000 0.000  -0.03
2 Cd 0.500 0.000 0.500  -0.03
3 Fe 0.000 0.500 0.500  2.77
4 P 0.500 0.500 0.000  0.04



The following is a PBE-GGA calculation of a geometry-optimized CdFeP structure, from the Alexandria database.

Summary:
The calculation puts the formation energy at 0.3162 eV/atom. The total energy is -0.1695 hartree per atom.

Cell: 4.169 4.169 4.169 Å, 60.00 60.00 60.00°
Last column: magnetic moment on the atom in μB.
Element x y z (fractional)
1 Cd 0.500 0.500 0.500  0.01
2 Fe 0.750 0.750 0.750  2.29
3 P 0.000 0.000 0.000  0.01



The following is a PBE-GGA calculation of a geometry-optimized Cd2FeP structure, from the Alexandria database.

Summary:
The calculation puts the formation energy at -0.0324 eV/atom. The total energy is -0.1455 hartree per atom.

Cell: 4.070 4.070 7.282 Å, 73.46 73.46 40.20°
Last column: magnetic moment on the atom in μB.
Element x y z (fractional)
1 Cd 0.970 0.970 0.967  -0.01
2 Cd 0.172 0.172 0.283  -0.01
3 Fe 0.536 0.536 0.625  0.69
4 P 0.822 0.822 0.625  -0.03



The following is a PBE-GGA calculation of a geometry-optimized Cd2FeP structure, from the Alexandria database.

Summary:
The calculation puts the formation energy at 0.0206 eV/atom. The total energy is -0.1435 hartree per atom.

Cell: 9.151 9.151 9.151 Å, 18.91 18.91 18.91°
Last column: magnetic moment on the atom in μB.
Element x y z (fractional)
1 Cd 0.006 0.006 0.006  -0.01
2 Cd 0.236 0.236 0.236  -0.02
3 Fe 0.487 0.487 0.487  1.20
4 P 0.771 0.771 0.771  -0.06



The following is a PBE-GGA calculation of a geometry-optimized Cd2FeP structure, from the Alexandria database.

Summary:
The calculation puts the formation energy at 0.4593 eV/atom. The total energy is -0.1274 hartree per atom.

Cell: 5.204 2.906 4.780 Å, 94.18 90.00 90.00°
Last column: magnetic moment on the atom in μB.
Element x y z (fractional)
1 Cd 0.000 0.985 0.004  -0.01
2 Cd 0.000 0.515 0.496  -0.01
3 Fe 0.500 0.250 0.250  2.87
4 P 0.500 0.750 0.750  0.08



The following is a PBE-GGA calculation of a geometry-optimized Cd2FeP structure, from the Alexandria database.

Summary:
The calculation puts the formation energy at 0.4516 eV/atom. The total energy is -0.1277 hartree per atom.

Cell: 9.359 9.359 9.359 Å, 18.36 18.36 18.36°
Last column: magnetic moment on the atom in μB.
Element x y z (fractional)
1 Cd 0.997 0.997 0.997  -0.02
2 Cd 0.503 0.503 0.503  -0.02
3 Fe 0.250 0.250 0.250  2.79
4 P 0.750 0.750 0.750  0.00



The following is a PBE-GGA calculation of a geometry-optimized Cd2FeP structure, from the Alexandria database.

Summary:
The calculation puts the formation energy at 0.4219 eV/atom. The total energy is -0.1288 hartree per atom.

Cell: 4.085 4.079 4.208 Å, 90.00 90.00 90.00°
Last column: magnetic moment on the atom in μB.
Element x y z (fractional)
1 Cd 0.000 0.000 0.000  -0.04
2 Cd 0.500 0.500 0.000  -0.04
3 Fe 0.500 0.000 0.500  2.62
4 P 0.000 0.500 0.500  0.02



The following is a PBE-GGA calculation of a geometry-optimized Cd2FeP structure, from the Alexandria database.

Summary:
The calculation puts the formation energy at 0.5121 eV/atom. The total energy is -0.1254 hartree per atom.

Cell: 4.653 4.653 4.653 Å, 60.00 60.00 60.00°
Last column: magnetic moment on the atom in μB.
Element x y z (fractional)
1 Cd 0.000 0.000 0.000  -0.02
2 Cd 0.250 0.250 0.250  -0.02
3 Fe 0.500 0.500 0.500  2.75
4 P 0.750 0.750 0.750  0.03



The following is a PBE-GGA calculation of a geometry-optimized Cd2FeP2 structure, from the Alexandria database.

Summary:
The calculation puts the formation energy at -0.0104 eV/atom. The total energy is -0.1556 hartree per atom.

Cell: 5.744 5.744 5.057 Å, 90.00 90.00 90.00°
Element x y z (fractional)
1 P 0.358 0.858 0.000
2 P 0.858 0.642 0.000
3 P 0.642 0.142 0.000
4 P 0.142 0.358 0.000
5 Fe 0.000 0.000 0.000
6 Fe 0.500 0.500 0.000
7 Cd 0.191 0.691 0.500
8 Cd 0.691 0.809 0.500
9 Cd 0.809 0.309 0.500
10 Cd 0.309 0.191 0.500



The following is a PBE-GGA calculation of a geometry-optimized Cd2FeP structure, from the Alexandria database.

Summary:
The calculation puts the formation energy at 0.3865 eV/atom. The total energy is -0.1301 hartree per atom.

Cell: 5.141 5.141 5.141 Å, 133.76 133.76 67.46°
Last column: magnetic moment on the atom in μB.
Element x y z (fractional)
1 Cd 0.000 0.000 0.000  -0.04
2 Cd 0.250 0.750 0.500  -0.03
3 Fe 0.500 0.500 0.000  2.69
4 P 0.750 0.250 0.500  0.04



The following is a PBE-GGA calculation of a geometry-optimized CdFeP structure, from the Alexandria database.

Summary:
The calculation puts the formation energy at 0.0231 eV/atom. The total energy is -0.1803 hartree per atom.

Cell: 2.976 2.976 6.223 Å, 90.00 90.00 120.00°
Last column: magnetic moment on the atom in μB.
Element x y z (fractional)
1 Cd 0.000 0.000 0.022  -0.03
2 Fe 0.333 0.667 0.379  1.18
3 P 0.667 0.333 0.599  -0.06



The following is a PBE-GGA calculation of a geometry-optimized CdFeP2 structure, from the Alexandria database.

Summary:
The calculation puts the formation energy at 0.5321 eV/atom. The total energy is -0.1660 hartree per atom.

Cell: 5.308 5.308 5.308 Å, 138.66 138.66 59.89°
Last column: magnetic moment on the atom in μB.
Element x y z (fractional)
1 Cd 0.500 0.500 0.000  -0.01
2 Fe 0.750 0.250 0.500  2.78
3 P 0.000 0.000 0.000  0.02
4 P 0.250 0.750 0.500  0.00



The following is a PBE-GGA calculation of a geometry-optimized CdFeP2 structure, from the Alexandria database.

Summary:
The calculation puts the formation energy at 0.4983 eV/atom. The total energy is -0.1672 hartree per atom.

Cell: 4.399 4.399 3.403 Å, 90.00 90.00 103.87°
Last column: magnetic moment on the atom in μB.
Element x y z (fractional)
1 Cd 0.500 0.000 0.500  -0.02
2 Fe 0.000 0.500 0.500  2.59
3 P 0.000 0.000 0.000  -0.02
4 P 0.500 0.500 0.000  -0.02



The following is a PBE-GGA calculation of a geometry-optimized CdFeP2 structure, from the Alexandria database.

Summary:
The calculation puts the formation energy at 0.5337 eV/atom. The total energy is -0.1659 hartree per atom.

Cell: 3.467 4.280 4.280 Å, 90.00 90.00 90.00°
Last column: magnetic moment on the atom in μB.
Element x y z (fractional)
1 Cd 0.500 0.500 0.000  -0.02
2 Fe 0.500 0.000 0.500  2.59
3 P 0.000 0.000 0.000  -0.02
4 P 0.000 0.500 0.500  -0.02



The following is a PBE-GGA calculation of a geometry-optimized CdFeP2 structure, from the Alexandria database.

Summary:
The calculation puts the formation energy at 0.5166 eV/atom. The total energy is -0.1666 hartree per atom.

Cell: 4.620 4.620 4.620 Å, 126.28 126.28 79.43°
Last column: magnetic moment on the atom in μB.
Element x y z (fractional)
1 Cd 0.250 0.750 0.500  -0.02
2 Fe 0.750 0.250 0.500  2.15
3 P 0.000 0.000 0.000  -0.06
4 P 0.500 0.500 0.000  -0.06



The following is a PBE-GGA calculation of a geometry-optimized Cd2FeP structure, from the Alexandria database.

Summary:
The calculation puts the formation energy at 0.0249 eV/atom. The total energy is -0.1434 hartree per atom.

Cell: 3.032 3.032 7.267 Å, 90.00 90.00 90.00°
Last column: magnetic moment on the atom in μB.
Element x y z (fractional)
1 Cd 0.000 0.000 0.972  -0.01
2 Cd 0.500 0.500 0.285  -0.02
3 Fe 0.000 0.000 0.564  1.19
4 P 0.500 0.500 0.679  -0.01



The following is a PBE-GGA calculation of a geometry-optimized Cd4FeP structure, from the Alexandria database.

Summary:
The calculation puts the formation energy at 0.6569 eV/atom. The total energy is -0.0832 hartree per atom.

Cell: 5.617 5.617 5.617 Å, 60.00 60.00 60.00°
Last column: magnetic moment on the atom in μB.
Element x y z (fractional)
1 Cd 0.874 0.375 0.375  -0.03
2 Cd 0.375 0.375 0.874  -0.03
3 Cd 0.375 0.874 0.375  -0.03
4 Cd 0.375 0.375 0.375  -0.03
5 Fe 0.750 0.750 0.750  2.98
6 P 0.000 0.000 0.000  -0.01



The following is a PBE-GGA calculation of a geometry-optimized CdFeP2 structure, from the Alexandria database.

Summary:
The calculation puts the formation energy at 0.0103 eV/atom. The total energy is -0.1852 hartree per atom.

Cell: 9.631 9.631 9.631 Å, 17.17 17.17 17.17°
Last column: magnetic moment on the atom in μB.
Element x y z (fractional)
1 Cd 0.250 0.250 0.250  -0.02
2 Fe 0.750 0.750 0.750  1.28
3 P 0.027 0.027 0.027  -0.02
4 P 0.473 0.473 0.473  -0.02